Compound: Th6SnGe2Se3
Source: Alexandria via LeMat-Bulk
Functional: GGA-PBE
Structure: relaxed

For the magnetic moment, the calculation gives 0.0 μB/cell. The value obtained for the density of states at the Fermi level is 7.96 states/eV/f.u. The calculation puts the total energy at -6.8274 eV per atom. For the uncorrected formation energy, the calculation gives -1.143 eV/atom.

abc: 4.3364 8.5558 9.5621
angles: 101.20 103.11 90.00
Atoms (fractional coordinates):
Th (0.3283, 0.9072, 0.6566)
Th (0.6687, 0.5788, 0.3375)
Th (0.6717, 0.0928, 0.3434)
Th (0.0037, 0.2639, 0.0075)
Th (0.9963, 0.7361, 0.9925)
Th (0.3313, 0.4212, 0.6625)
Sn (0.5000, 0.0000, 0.0000)
Ge (0.8324, 0.6661, 0.6648)
Ge (0.1676, 0.3339, 0.3352)
Se (0.5000, 0.5000, 0.0000)
Se (0.8371, 0.1679, 0.6741)
Se (0.1629, 0.8321, 0.3259)